DFT (PBE+U) results for a relaxed KVZnF2 crystal.

Lattice parameters (Å, degrees): 4.355 4.355 5.306 90.00 90.00 90.00
Positions (direct):
1 K 0.000 0.000 0.000
2 V 0.500 0.500 0.500
3 Zn 0.500 0.500 0.000
4 F 0.000 0.500 0.500
5 F 0.500 0.000 0.500

## Properties
symmetry = P4/mmm
magnetization = 3.8 μB per formula unit
V = 20.12 Å³/atom
E = -20.04 eV/cell